1.
LiGaC: optimized geometry, PBE-GGA.

```
LiGaC
1.0
2.9728 -1.7164 0.0000
0.0000 3.4327 0.0000
0.0000 0.0000 6.9687
Li Ga C
2 2 2
Direct
0.0000 0.0000 0.9099
0.3333 0.6667 0.6721
0.6667 0.3333 0.4730
0.3333 0.6667 0.1509
0.0000 0.0000 0.5686
0.6667 0.3333 0.1218
```

Output
The calculated formation energy is 0.320 eV/atom.

---

2.
RbCoSb2Cl: optimized geometry, PBE-GGA.

```
RbCoSb2Cl
1.0
-4.6150 -3.8431 -1.2230
0.5366 -1.8176 3.6867
-3.9542 3.9461 2.5211
Sb Co Cl Rb
2 1 1 1
Direct
0.0000 0.0000 0.5000
0.5000 0.0000 0.0000
0.0000 0.5000 0.0000
0.0000 0.0000 0.0000
0.5000 0.5000 0.5000
```

Output
The calculation puts the uncorrected energy at -15.27 eV for the cell shown.

---

3.
RbS: optimized geometry, PBE-GGA.

```
RbS
1.0
-4.2579 9.7847 16.9306
-4.2039 -0.2800 -0.8954
-0.2354 -4.3895 2.4776
S Rb
6 6
Direct
0.7269 0.0000 0.0000
0.7731 0.5000 0.0000
0.5000 0.5000 0.5000
0.0000 0.0000 0.5000
0.2731 0.0000 0.0000
0.2269 0.5000 0.0000
0.1597 0.0000 0.5000
0.8403 0.0000 0.5000
0.0000 0.5000 0.0000
0.3403 0.5000 0.5000
0.5000 0.0000 0.0000
0.6597 0.5000 0.5000
```

Output
The calculation puts the uncorrected energy at -39.62 eV for the cell shown.

---

4.
Al2Ga6Ag: optimized geometry, PBE-GGA.

```
Al2Ga6Ag
1.0
-0.3408 2.6742 1.6273
-5.5355 -0.8533 3.2894
3.2047 -2.3980 7.6586
Ga Al Ag
6 2 1
Direct
0.9664 0.3397 0.7275
0.7467 0.3883 0.1182
0.6376 0.2618 0.4630
0.2533 0.6117 0.8818
0.0336 0.6603 0.2725
0.3624 0.7382 0.5370
0.6514 0.9594 0.7378
0.3486 0.0406 0.2622
0.0000 0.0000 0.0000
```

Output
For the offset from the most stable computed form, the calculation gives 0.026 eV per atom. The calculated formation energy is 0.045 eV/atom.

---

no.,D(E_F) (states/eV/atom)
1,0.00
2,1.21
3,0.33
4,0.30